# La2FeHPd PBE optimized geometry
# Total moment: 0.228 μB per atom
# Electronic total energy: -28.4 eV/f.u.
# Theoretical density: 7.59 g/cm3
data_La2FeHPd
_symmetry_space_group_name_H-M 'P 1'
_symmetry_Int_Tables_number 1
_symmetry_space_group_name_Hall 'P 1'
_cell_length_a 5.154
_cell_length_b 5.154
_cell_length_c 3.633
_cell_angle_alpha 90.00
_cell_angle_beta 90.00
_cell_angle_gamma 90.00
loop_
_atom_site_label
_atom_site_type_symbol
_atom_site_fract_x
_atom_site_fract_y
_atom_site_fract_z
_atom_site_occupancy
Fe1 Fe 0.000 0.000 0.500 1
Pd1 Pd 0.500 0.500 0.500 1
La1 La 0.000 0.500 0.000 1
La2 La 0.500 0.000 0.000 1
H1 H 0.000 0.000 0.000 1